Entry 1:
An optimized crystal structure of NaSr2Bi3Pd4. Source: Alexandria via LeMat-Bulk, functional PBE-GGA.

The structure in POSCAR format:
```
NaSr2Bi3Pd4
1.0
-2.086 4.135 -1.202
-2.473 -0.057 4.096
8.210 5.605 5.034
Na Sr Bi Pd
1 2 3 4
direct
0.500 0.500 0.500
0.500 0.000 0.236
0.000 0.500 0.764
0.000 0.000 0.500
0.500 0.000 0.873
0.000 0.500 0.127
0.500 0.500 0.000
0.000 0.000 0.000
0.500 0.000 0.632
0.000 0.500 0.368
```

Space group   No. 115
Magnetic moment   0.00 μB/f.u.
Mass density   8.14 g cm⁻³
E   -42.7 eV/f.u.
Volume   25.51 Å³/atom

---

Entry 2:
An optimized crystal structure of NaTbBiPd. Source: Alexandria via LeMat-Bulk, functional PBE-GGA.

The structure in POSCAR format:
```
NaTbBiPd
1.0
5.163 0.000 0.000
2.581 4.471 0.000
2.581 1.490 4.215
Na Tb Bi Pd
1 1 1 1
direct
0.500 0.500 0.500
0.000 0.000 0.000
0.750 0.750 0.750
0.250 0.250 0.250
```

Space group   No. 216
Magnetic moment   0.00 μB/f.u.
Mass density   8.49 g cm⁻³
E   -17.0 eV/f.u.
Volume   24.32 Å³/atom

---

Entry 3:
An optimized crystal structure of NaTl2Bi2Pd2. Source: Alexandria via LeMat-Bulk, functional PBE-GGA.

The structure in POSCAR format:
```
NaTl2Bi2Pd2
1.0
4.964 0.000 0.000
0.000 4.964 0.000
-2.482 -2.482 8.050
Na Tl Bi Pd
1 2 2 2
direct
0.000 0.000 0.000
0.188 0.188 0.376
0.812 0.812 0.624
0.401 0.401 0.803
0.599 0.599 0.197
0.000 0.500 0.000
0.500 0.000 0.000
```

Space group   No. 139
Magnetic moment   0.00 μB/f.u.
Mass density   8.89 g cm⁻³
E   -24.0 eV/f.u.
Volume   28.34 Å³/atom